{"formula": "Sc2CrPbBr", "functional": "PBE", "state": "optimized geometry", "cell": [[-3.282, -3.644, 1.276], [2.405, -0.703, 4.178], [-2.941, 3.445, 2.273]], "species": ["Pb", "Cr", "Sc", "Sc", "Br"], "frac_coords": [[0.500, 0.500, 0.500], [0.000, 0.500, 0.000], [0.000, 0.000, 0.500], [0.500, 0.000, 0.000], [0.000, 0.000, 0.000]], "formation_energy_uncorrected_ev_per_atom": 0.168, "crystal_system": "tetragonal"}


{"formula": "CrPbSe2Br", "functional": "PBE", "state": "optimized geometry", "cell": [[-4.300, -1.600, -2.020], [0.963, -4.643, 1.627], [-2.387, 1.006, 4.285]], "species": ["Pb", "Cr", "Se", "Se", "Br"], "frac_coords": [[0.500, 0.500, 0.500], [0.000, 0.000, 0.000], [0.000, 0.500, 0.000], [0.500, 0.000, 0.000], [0.000, 0.000, 0.500]], "de_polymorph_mev_per_atom": 0, "formation_energy_uncorrected_ev_per_atom": -0.271, "crystal_system": "tetragonal"}


{"formula": "CrSiPbBr2", "functional": "PBE", "state": "optimized geometry", "cell": [[5.848, 0.000, 0.000], [0.000, 5.588, 0.000], [0.000, 0.000, 5.848]], "species": ["Pb", "Cr", "Si", "Br", "Br"], "frac_coords": [[0.000, 0.000, 0.000], [0.000, 0.500, 0.000], [0.500, 0.500, 0.500], [0.000, 0.000, 0.500], [0.500, 0.000, 0.000]], "de_polymorph_mev_per_atom": 359, "formation_energy_uncorrected_ev_per_atom": 0.899, "crystal_system": "tetragonal"}


{"formula": "CrSiPbBr2", "functional": "PBE", "state": "optimized geometry", "cell": [[-3.658, -0.756, 3.459], [-3.257, -2.609, -4.014], [2.082, -4.482, 1.223]], "species": ["Pb", "Cr", "Si", "Br", "Br"], "frac_coords": [[0.000, 0.500, 0.000], [0.500, 0.500, 0.500], [0.000, 0.000, 0.000], [0.000, 0.000, 0.500], [0.500, 0.000, 0.000]], "de_polymorph_mev_per_atom": 0, "formation_energy_uncorrected_ev_per_atom": 0.540, "crystal_system": "tetragonal"}


{"formula": "TlCrPb2Br8", "functional": "PBE", "state": "optimized geometry", "cell": [[6.976, 0.072, -0.005], [0.117, 6.670, 0.000], [0.005, 0.020, 9.054]], "species": ["Tl", "Cr", "Pb", "Pb", "Br", "Br", "Br", "Br", "Br", "Br", "Br", "Br"], "frac_coords": [[0.000, 0.000, 0.500], [0.000, 0.000, 0.000], [0.500, 0.500, 0.761], [0.500, 0.500, 0.239], [0.141, 0.772, 0.199], [0.696, 0.789, 0.999], [0.858, 0.227, 0.198], [0.859, 0.228, 0.801], [0.304, 0.211, 0.001], [0.142, 0.773, 0.802], [0.626, 0.732, 0.500], [0.374, 0.268, 0.500]], "formation_energy_uncorrected_ev_per_atom": -0.791, "crystal_system": "triclinic"}


{"formula": "Tl2CrPbBr6", "functional": "PBE", "state": "optimized geometry", "cell": [[7.934, 0.004, 0.004], [3.971, 6.874, 0.007], [3.972, 2.297, 6.263]], "species": ["Tl", "Tl", "Cr", "Pb", "Br", "Br", "Br", "Br", "Br", "Br"], "frac_coords": [[0.540, 0.539, 0.382], [0.092, 0.093, 0.721], [0.316, 0.316, 0.052], [0.816, 0.816, 0.552], [0.538, 0.164, 0.294], [0.163, 0.005, 0.296], [0.005, 0.538, 0.294], [0.469, 0.627, 0.807], [0.627, 0.094, 0.809], [0.094, 0.468, 0.809]], "formation_energy_uncorrected_ev_per_atom": -0.777, "crystal_system": "triclinic"}


{"formula": "VCr2PbBr", "functional": "PBE", "state": "optimized geometry", "cell": [[-3.279, -1.365, 3.234], [-0.377, -4.295, -2.195], [3.490, -1.740, 2.804]], "species": ["Pb", "Cr", "Cr", "Br", "V"], "frac_coords": [[0.500, 0.500, 0.500], [0.000, 0.000, 0.500], [0.500, 0.000, 0.000], [0.000, 0.500, 0.000], [0.000, 0.000, 0.000]], "formation_energy_uncorrected_ev_per_atom": 0.934, "crystal_system": "tetragonal"}


{"formula": "Cr3PdBr", "functional": "PBE", "state": "optimized geometry", "cell": [[4.997, 0.000, 0.000], [0.000, 4.997, 0.000], [0.000, 0.000, 4.997]], "species": ["Cr", "Cr", "Cr", "Br", "Pd"], "frac_coords": [[0.000, 0.500, 0.000], [0.000, 0.000, 0.500], [0.500, 0.000, 0.000], [0.500, 0.500, 0.500], [0.000, 0.000, 0.000]], "de_polymorph_mev_per_atom": 0, "formation_energy_uncorrected_ev_per_atom": 1.062, "crystal_system": "cubic"}


{"formula": "CrPdBr2", "functional": "PBE", "state": "optimized geometry", "cell": [[2.052, -4.058, 1.610], [-0.219, -1.118, 4.687], [-2.754, -3.675, 1.477]], "species": ["Cr", "Br", "Br", "Pd"], "frac_coords": [[0.000, 0.000, 0.000], [0.250, 0.250, 0.250], [0.750, 0.750, 0.750], [0.500, 0.500, 0.500]], "de_polymorph_mev_per_atom": 195, "formation_energy_uncorrected_ev_per_atom": 0.176, "crystal_system": "cubic"}


{"formula": "CrPd2Br", "functional": "PBE", "state": "optimized geometry", "cell": [[-1.778, -3.463, -2.459], [-3.322, 0.831, -3.078], [0.901, -0.325, -4.504]], "species": ["Cr", "Br", "Pd", "Pd"], "frac_coords": [[0.000, 0.000, 0.000], [0.500, 0.500, 0.500], [0.250, 0.250, 0.250], [0.750, 0.750, 0.750]], "de_polymorph_mev_per_atom": 0, "formation_energy_uncorrected_ev_per_atom": 0.379, "crystal_system": "cubic"}


{"formula": "CrPdBr2", "functional": "PBE", "state": "optimized geometry", "cell": [[-5.577, -0.112, -0.486], [0.000, -5.456, 1.259], [-3.384, -1.287, 6.873]], "species": ["Cr", "Cr", "Br", "Br", "Br", "Br", "Pd", "Pd"], "frac_coords": [[0.500, 0.500, 0.000], [0.250, 0.750, 0.500], [0.614, 0.125, 0.250], [0.136, 0.625, 0.250], [0.375, 0.386, 0.750], [0.875, 0.864, 0.750], [0.000, 0.000, 0.000], [0.750, 0.250, 0.500]], "de_polymorph_mev_per_atom": 49, "formation_energy_uncorrected_ev_per_atom": 0.030, "crystal_system": "tetragonal"}


{"formula": "Cr3PdBr", "functional": "PBE", "state": "optimized geometry", "cell": [[4.328, 0.000, 0.000], [0.000, 4.328, 0.000], [0.000, 0.000, 4.328]], "species": ["Cr", "Cr", "Cr", "Br", "Pd"], "frac_coords": [[0.000, 0.500, 0.000], [0.000, 0.000, 0.500], [0.500, 0.000, 0.000], [0.000, 0.000, 0.000], [0.500, 0.500, 0.500]], "de_polymorph_mev_per_atom": 387, "formation_energy_uncorrected_ev_per_atom": 1.449, "crystal_system": "cubic"}


Copy entry 10 word for word.
{"formula": "CrPd2Br", "functional": "PBE", "state": "optimized geometry", "cell": [[-1.778, -3.463, -2.459], [-3.322, 0.831, -3.078], [0.901, -0.325, -4.504]], "species": ["Cr", "Br", "Pd", "Pd"], "frac_coords": [[0.000, 0.000, 0.000], [0.500, 0.500, 0.500], [0.250, 0.250, 0.250], [0.750, 0.750, 0.750]], "de_polymorph_mev_per_atom": 0, "formation_energy_uncorrected_ev_per_atom": 0.379, "crystal_system": "cubic"}


Please write out number 4 again, unchanged.
{"formula": "CrSiPbBr2", "functional": "PBE", "state": "optimized geometry", "cell": [[-3.658, -0.756, 3.459], [-3.257, -2.609, -4.014], [2.082, -4.482, 1.223]], "species": ["Pb", "Cr", "Si", "Br", "Br"], "frac_coords": [[0.000, 0.500, 0.000], [0.500, 0.500, 0.500], [0.000, 0.000, 0.000], [0.000, 0.000, 0.500], [0.500, 0.000, 0.000]], "de_polymorph_mev_per_atom": 0, "formation_energy_uncorrected_ev_per_atom": 0.540, "crystal_system": "tetragonal"}


What did the eleventh record say?
{"formula": "CrPdBr2", "functional": "PBE", "state": "optimized geometry", "cell": [[-5.577, -0.112, -0.486], [0.000, -5.456, 1.259], [-3.384, -1.287, 6.873]], "species": ["Cr", "Cr", "Br", "Br", "Br", "Br", "Pd", "Pd"], "frac_coords": [[0.500, 0.500, 0.000], [0.250, 0.750, 0.500], [0.614, 0.125, 0.250], [0.136, 0.625, 0.250], [0.375, 0.386, 0.750], [0.875, 0.864, 0.750], [0.000, 0.000, 0.000], [0.750, 0.250, 0.500]], "de_polymorph_mev_per_atom": 49, "formation_energy_uncorrected_ev_per_atom": 0.030, "crystal_system": "tetragonal"}